# GdHfRuPt, relaxed, DFT GGA-PBE
# **ΔH_f (0 K)**: -704 meV per atom
# **Crystal system**: cubic
# **Density of states at the Fermi level**: 7.27 states/eV per cell
data_GdHfRuPt
_cell_length_a 6.756
_cell_length_b 6.756
_cell_length_c 6.756
_cell_angle_alpha 90.00
_cell_angle_beta 90.00
_cell_angle_gamma 90.00
_symmetry_space_group_name_H-M 'F -4 3 m'
_symmetry_Int_Tables_number 216
_symmetry_space_group_name_Hall 'F -4 2 3'
loop_
_atom_site_label
_atom_site_type_symbol
_atom_site_fract_x
_atom_site_fract_y
_atom_site_fract_z
Gd1 Gd 0.000 0.000 0.000
Hf1 Hf 0.000 0.000 0.500
Ru1 Ru 0.250 0.250 0.750
Pt1 Pt 0.250 0.250 0.250